(1)
Ho3ReTe5 after structural relaxation, computed with PBE.

Properties
**Total moment**: 0.00 Bohr magnetons per cell
**Energy relative to the lowest polymorph listed for this composition**: 0.05 eV/f.u.
**Calculated density**: 8.88 g cm⁻³
**Total DFT energy (no corrections)**: -47.661 eV per formula unit

```
Ho3ReTe5
1.0
-2.9449 -7.5438 3.0882
2.4950 0.6164 -8.2773
3.5288 -0.9717 0.9913
Te Ho Re
5 3 1
Direct
0.2267 0.0000 0.5000 Te
0.0000 0.2267 0.5000 Te
0.3333 0.6667 0.5000 Te
0.6667 0.3333 0.5000 Te
0.7733 0.7733 0.5000 Te
0.6419 0.0000 0.0000 Ho
0.0000 0.6419 0.0000 Ho
0.3581 0.3581 0.0000 Ho
0.0000 0.0000 0.0000 Re
```

***

(2)
Ho3ReTe5 after structural relaxation, computed with PBE.

Properties
**Total moment**: 0.01 Bohr magnetons per cell
**Energy relative to the lowest polymorph listed for this composition**: 0.00 eV/f.u.
**Calculated density**: 8.29 g cm⁻³
**Total DFT energy (no corrections)**: -47.710 eV per formula unit

```
Ho3ReTe5
1.0
-8.2815 0.1142 1.3216
3.1577 -4.3298 -6.4517
0.3548 -3.5055 2.5263
Ho Te Re
3 5 1
Direct
0.2601 0.0000 0.5000 Ho
0.7399 0.7399 0.5000 Ho
0.0000 0.2601 0.5000 Ho
0.0000 0.6878 0.0000 Te
0.6667 0.3333 0.5000 Te
0.6878 0.0000 0.0000 Te
0.3122 0.3122 0.0000 Te
0.3333 0.6667 0.5000 Te
0.0000 0.0000 0.0000 Re
```

***

(3)
HoTlRe after structural relaxation, computed with PBE.

Properties
**Total moment**: 0.49 Bohr magnetons per cell
**Calculated density**: 12.48 g cm⁻³
**Total DFT energy (no corrections)**: -16.541 eV per formula unit

```
HoTlRe
1.0
2.5394 -3.9603 -0.2295
-2.1154 -4.1837 0.4547
-0.4113 -2.8486 -3.7285
Ho Tl Re
1 1 1
Direct
0.2500 0.2500 0.2500 Ho
0.0000 0.0000 0.0000 Tl
0.7500 0.7500 0.7500 Re
```

***

(4)
HoTmRe after structural relaxation, computed with PBE.

Properties
**Total moment**: 0.03 Bohr magnetons per cell
**Calculated density**: 11.50 g cm⁻³
**Energy relative to the elements**: 1.11 eV/atom
**Total DFT energy (no corrections)**: -18.153 eV per formula unit

```
HoTmRe
1.0
0.0000 3.3490 3.3490
3.3490 0.0000 3.3490
3.3490 3.3490 0.0000
Tm Ho Re
1 1 1
Direct
0.0000 0.0000 0.0000 Tm
0.2500 0.2500 0.2500 Ho
0.7500 0.7500 0.7500 Re
```

***

What did the fourth record say?
HoTmRe after structural relaxation, computed with PBE.

Properties
**Total moment**: 0.03 Bohr magnetons per cell
**Calculated density**: 11.50 g cm⁻³
**Energy relative to the elements**: 1.11 eV/atom
**Total DFT energy (no corrections)**: -18.153 eV per formula unit

```
HoTmRe
1.0
0.0000 3.3490 3.3490
3.3490 0.0000 3.3490
3.3490 3.3490 0.0000
Tm Ho Re
1 1 1
Direct
0.0000 0.0000 0.0000 Tm
0.2500 0.2500 0.2500 Ho
0.7500 0.7500 0.7500 Re
```

***

- Look up the total moment of the second one.
  0.01 Bohr magnetons per cell